(1)
DFT (PBE) results for an optimized crystal structure of Rb2ScTe2O6.

Calculated values
* symmetry: No. 12
* formation energy from raw total energies: -1.6060 eV/atom

CIF file:
```
data_Rb2ScTe2O6
_chemical_formula_sum 'Rb2 Sc1 Te2 O6'
_symmetry_space_group_name_H-M 'P 1'
_symmetry_Int_Tables_number 1
_symmetry_space_group_name_Hall 'P 1'
_cell_length_a 6.384
_cell_length_b 5.758
_cell_length_c 7.130
_cell_angle_alpha 105.14
_cell_angle_beta 90.00
_cell_angle_gamma 123.66
loop_
_atom_site_label
_atom_site_type_symbol
_atom_site_fract_x
_atom_site_fract_y
_atom_site_fract_z
Sc1 Sc 0.500 0.000 0.500
O1 O 0.729 0.458 0.521
O2 O 0.763 0.053 0.724
O3 O 0.271 0.542 0.479
Rb1 Rb 0.693 0.386 0.117
O4 O 0.290 0.053 0.724
Te1 Te 0.916 0.831 0.722
O5 O 0.237 0.947 0.276
O6 O 0.710 0.947 0.276
Rb2 Rb 0.307 0.614 0.883
Te2 Te 0.084 0.169 0.278
```

***

(2)
DFT (PBE) results for an optimized crystal structure of Ta2BeNbRe.

Calculated values
* symmetry: No. 123
* energy of formation: 0.68 eV/atom

CIF file:
```
data_Ta2BeNbRe
_chemical_formula_sum 'Ta2 Be1 Nb1 Re1'
_symmetry_space_group_name_H-M 'P 1'
_symmetry_Int_Tables_number 1
_symmetry_space_group_name_Hall 'P 1'
_cell_length_a 4.478
_cell_length_b 4.143
_cell_length_c 4.478
_cell_angle_alpha 90.00
_cell_angle_beta 90.00
_cell_angle_gamma 90.00
loop_
_atom_site_label
_atom_site_type_symbol
_atom_site_fract_x
_atom_site_fract_y
_atom_site_fract_z
Ta1 Ta 0.000 0.000 0.500
Re1 Re 0.500 0.500 0.500
Be1 Be 0.000 0.000 0.000
Ta2 Ta 0.500 0.000 0.000
Nb1 Nb 0.000 0.500 0.000
```

***

(3)
DFT (PBE) results for an optimized crystal structure of ScWSe2.

Calculated values
* energy above the most stable polymorph in this dataset: 0.3783 eV/atom
* symmetry: No. 166
* formation energy from raw total energies: -0.1890 eV/atom

CIF file:
```
data_ScWSe2
_chemical_formula_sum 'Sc1 W1 Se2'
_symmetry_space_group_name_H-M 'P 1'
_symmetry_Int_Tables_number 1
_symmetry_space_group_name_Hall 'P 1'
_cell_length_a 8.207
_cell_length_b 8.207
_cell_length_c 8.207
_cell_angle_alpha 23.17
_cell_angle_beta 23.17
_cell_angle_gamma 23.17
loop_
_atom_site_label
_atom_site_type_symbol
_atom_site_fract_x
_atom_site_fract_y
_atom_site_fract_z
W1 W 0.250 0.250 0.250
Sc1 Sc 0.750 0.750 0.750
Se1 Se 0.508 0.508 0.508
Se2 Se 0.992 0.992 0.992
```

***

(4)
DFT (PBE) results for an optimized crystal structure of Ba3Zn8Cd3.

Calculated values
* energy above the most stable polymorph in this dataset: 0.0104 eV/atom
* symmetry: No. 12
* energy of formation: -0.18 eV/atom

CIF file:
```
data_Ba3Zn8Cd3
_chemical_formula_sum 'Ba3 Zn8 Cd3'
_symmetry_space_group_name_H-M 'P 1'
_symmetry_Int_Tables_number 1
_symmetry_space_group_name_Hall 'P 1'
_cell_length_a 4.642
_cell_length_b 8.891
_cell_length_c 9.514
_cell_angle_alpha 67.06
_cell_angle_beta 75.88
_cell_angle_gamma 74.87
loop_
_atom_site_label
_atom_site_type_symbol
_atom_site_fract_x
_atom_site_fract_y
_atom_site_fract_z
Zn1 Zn 0.876 0.426 0.821
Zn2 Zn 0.114 0.153 0.618
Zn3 Zn 0.491 0.307 0.711
Cd1 Cd 0.677 0.663 0.983
Zn4 Zn 0.643 0.997 0.716
Zn5 Zn 0.124 0.574 0.179
Ba1 Ba 0.000 0.000 0.000
Ba2 Ba 0.698 0.269 0.335
Zn6 Zn 0.886 0.847 0.382
Zn7 Zn 0.357 0.003 0.284
Cd2 Cd 0.000 0.500 0.500
Zn8 Zn 0.509 0.693 0.289
Cd3 Cd 0.323 0.337 0.017
Ba3 Ba 0.302 0.731 0.665
```

***

Number 2 is which compound? Ta2BeNbRe

***

Please write out number 2 again, unchanged.
DFT (PBE) results for an optimized crystal structure of Ta2BeNbRe.

Calculated values
* symmetry: No. 123
* energy of formation: 0.68 eV/atom

CIF file:
```
data_Ta2BeNbRe
_chemical_formula_sum 'Ta2 Be1 Nb1 Re1'
_symmetry_space_group_name_H-M 'P 1'
_symmetry_Int_Tables_number 1
_symmetry_space_group_name_Hall 'P 1'
_cell_length_a 4.478
_cell_length_b 4.143
_cell_length_c 4.478
_cell_angle_alpha 90.00
_cell_angle_beta 90.00
_cell_angle_gamma 90.00
loop_
_atom_site_label
_atom_site_type_symbol
_atom_site_fract_x
_atom_site_fract_y
_atom_site_fract_z
Ta1 Ta 0.000 0.000 0.500
Re1 Re 0.500 0.500 0.500
Be1 Be 0.000 0.000 0.000
Ta2 Ta 0.500 0.000 0.000
Nb1 Nb 0.000 0.500 0.000
```

***

Repeat the first record exactly.
DFT (PBE) results for an optimized crystal structure of Rb2ScTe2O6.

Calculated values
* symmetry: No. 12
* formation energy from raw total energies: -1.6060 eV/atom

CIF file:
```
data_Rb2ScTe2O6
_chemical_formula_sum 'Rb2 Sc1 Te2 O6'
_symmetry_space_group_name_H-M 'P 1'
_symmetry_Int_Tables_number 1
_symmetry_space_group_name_Hall 'P 1'
_cell_length_a 6.384
_cell_length_b 5.758
_cell_length_c 7.130
_cell_angle_alpha 105.14
_cell_angle_beta 90.00
_cell_angle_gamma 123.66
loop_
_atom_site_label
_atom_site_type_symbol
_atom_site_fract_x
_atom_site_fract_y
_atom_site_fract_z
Sc1 Sc 0.500 0.000 0.500
O1 O 0.729 0.458 0.521
O2 O 0.763 0.053 0.724
O3 O 0.271 0.542 0.479
Rb1 Rb 0.693 0.386 0.117
O4 O 0.290 0.053 0.724
Te1 Te 0.916 0.831 0.722
O5 O 0.237 0.947 0.276
O6 O 0.710 0.947 0.276
Rb2 Rb 0.307 0.614 0.883
Te2 Te 0.084 0.169 0.278
```